1.
VASP calculation (PBE) on a relaxed structure of CrNiBr2.

Its crystal system is monoclinic. The calculation puts the raw formation energy at 258.0 meV/atom. The calculation puts the polymorph energy (0 for the lowest one) at 353.4 meV per atom.

abc: 4.4103 3.6824 5.7263
angles: 90.00 92.60 90.00
With the nearest neighbours (Å) after each atom.
Fractional coordinates of all 4 atoms:
Cr (0.0000, 0.0000, 0.0000)  4 Br 2.63
Ni (0.5000, 0.0000, 0.5000)  4 Br 2.47
Br (0.2723, 0.5000, 0.2629)  2 Ni 2.47, 2 Cr 2.63
Br (0.7277, 0.5000, 0.7371)  2 Ni 2.47, 2 Cr 2.63


2.
VASP calculation (PBE) on a relaxed structure of Y2MnRh.

Its crystal system is tetragonal. The energy of formation from the pure elements comes out at -12.9 kJ per mole of atoms.

abc: 3.3843 3.3843 7.9100
angles: 90.00 90.00 90.00
With the nearest neighbours (Å) after each atom.
Fractional coordinates of all 4 atoms:
Y (0.0000, 0.0000, 0.0000)  4 Rh 2.93, 1 Mn 3.00
Y (0.5000, 0.5000, 0.3745)  4 Mn 3.09, 1 Rh 3.26, 4 Y 3.38
Mn (0.0000, 0.0000, 0.6208)  4 Rh 2.73, 1 Y 3.00
Rh (0.5000, 0.5000, 0.7868)  4 Mn 2.73, 4 Y 2.93


3.
VASP calculation (PBE) on a relaxed structure of Ho12Ni6Rh.

Its crystal system is trigonal. The energy of formation from the pure elements comes out at -25.3 kJ per mole of atoms.

abc: 7.9583 7.9583 7.9583
angles: 99.01 99.01 99.01
With the nearest neighbours (Å) after each atom.
Fractional coordinates of all 19 atoms:
Ho (0.0506, 0.9081, 0.6751)  1 Rh 2.68, 2 Ni 2.72-2.74
Ho (0.0919, 0.3249, 0.9494)  1 Rh 2.68, 2 Ni 2.72-2.74
Ho (0.1813, 0.5734, 0.4107)  3 Ni 2.66-2.82
Ho (0.3249, 0.9494, 0.0919)  1 Rh 2.68, 2 Ni 2.72-2.74
Ho (0.4107, 0.1813, 0.5734)  3 Ni 2.66-2.82
Ho (0.4266, 0.5893, 0.8187)  3 Ni 2.66-2.82
Ho (0.5734, 0.4107, 0.1813)  3 Ni 2.66-2.82
Ho (0.5893, 0.8187, 0.4266)  3 Ni 2.66-2.82
Ho (0.6751, 0.0506, 0.9081)  1 Rh 2.68, 2 Ni 2.72-2.74
Ho (0.8187, 0.4266, 0.5893)  3 Ni 2.66-2.82
Ho (0.9081, 0.6751, 0.0506)  1 Rh 2.68, 2 Ni 2.72-2.74
Ho (0.9494, 0.0919, 0.3249)  1 Rh 2.68, 2 Ni 2.72-2.74
Ni (0.1320, 0.3166, 0.6155)  5 Ho 2.66-2.82
Ni (0.3166, 0.6155, 0.1320)  5 Ho 2.66-2.82
Ni (0.3845, 0.8680, 0.6834)  5 Ho 2.66-2.82
Ni (0.6155, 0.1320, 0.3166)  5 Ho 2.66-2.82
Ni (0.6834, 0.3845, 0.8680)  5 Ho 2.66-2.82
Ni (0.8680, 0.6834, 0.3845)  5 Ho 2.66-2.82
Rh (0.0000, 0.0000, 0.0000)  6 Ho 2.68


4.
VASP calculation (PBE) on a relaxed structure of CuIrW2.

Its crystal system is monoclinic. The energy of formation from the pure elements comes out at 3.0 kJ per mole of atoms. The calculation puts the polymorph energy (0 for the lowest one) at 0.0 meV per atom.

abc: 2.7338 3.9933 5.3856
angles: 90.00 90.17 90.00
With the nearest neighbours (Å) after each atom.
Fractional coordinates of all 4 atoms:
Cu (0.0000, 0.0000, 0.0000)  2 Ir 2.69, 2 Cu 2.73, 8 W 2.75-2.77
Ir (0.0000, 0.0000, 0.5000)  2 Cu 2.69, 2 Ir 2.73, 8 W 2.77-2.78
W (0.4961, 0.5000, 0.2470)  4 W 2.66-2.73, 4 Cu 2.75-2.77, 4 Ir 2.77-2.78
W (0.5039, 0.5000, 0.7530)  4 W 2.66-2.73, 4 Cu 2.75-2.77, 4 Ir 2.77-2.78


5.
VASP calculation (PBE) on a relaxed structure of LiCo2Ir.

Its crystal system is orthorhombic. The energy of formation from the pure elements comes out at 10.5 kJ per mole of atoms.

abc: 2.7757 4.0752 4.2370
angles: 90.00 90.00 90.00
With the nearest neighbours (Å) after each atom.
Fractional coordinates of all 4 atoms:
Li (0.0000, 0.0000, 0.0000)  4 Ir 2.47, 4 Co 2.53
Co (0.0000, 0.5000, 0.5000)  4 Co 2.47, 4 Ir 2.53
Co (0.5000, 0.0000, 0.5000)  4 Co 2.47, 4 Li 2.53
Ir (0.5000, 0.5000, 0.0000)  4 Li 2.47, 4 Co 2.53


6.
VASP calculation (PBE) on a relaxed structure of TaCoTeI2.

Its crystal system is tetragonal. The calculation puts the raw formation energy at 940.2 meV/atom. The calculation puts the polymorph energy (0 for the lowest one) at 0.0 meV per atom.

abc: 5.5791 5.5791 5.3904
angles: 90.00 90.00 90.00
With the nearest neighbours (Å) after each atom.
Fractional coordinates of all 5 atoms:
Ta (0.0000, 0.0000, 0.0000)  2 Te 2.70, 4 I 2.79
Co (0.5000, 0.5000, 0.5000)  8 I 3.88, 4 Te 3.94
Te (0.0000, 0.0000, 0.5000)  2 Ta 2.70
I (0.0000, 0.5000, 0.0000)  2 Ta 2.79
I (0.5000, 0.0000, 0.0000)  2 Ta 2.79


7.
VASP calculation (PBE) on a relaxed structure of LiSc2H2.

Its crystal system is tetragonal. The calculated total energy comes out at -4.2417 eV per atom.

abc: 6.2807 6.2807 3.1963
angles: 90.00 90.00 90.00
With the nearest neighbours (Å) after each atom.
Fractional coordinates of all 10 atoms:
Li (0.0000, 0.0000, 0.0000)  4 H 2.42
Li (0.5000, 0.5000, 0.0000)  4 H 2.42
Sc (0.1756, 0.3244, 0.5000)  2 H 2.28
Sc (0.3244, 0.8244, 0.5000)  2 H 2.28
Sc (0.6756, 0.1756, 0.5000)  2 H 2.28
Sc (0.8244, 0.6756, 0.5000)  2 H 2.28
H (0.1411, 0.6411, 0.0000)  2 Sc 2.28, 2 Li 2.42, 1 H 2.51
H (0.3589, 0.1411, 0.0000)  2 Sc 2.28, 2 Li 2.42, 1 H 2.51
H (0.6411, 0.8589, 0.0000)  2 Sc 2.28, 2 Li 2.42, 1 H 2.51
H (0.8589, 0.3589, 0.0000)  2 Sc 2.28, 2 Li 2.42, 1 H 2.51


8.
VASP calculation (PBE) on a relaxed structure of TeWAu3.

Its crystal system is cubic. The calculation puts the raw formation energy at 1621.5 meV/atom. The calculation puts the polymorph energy (0 for the lowest one) at 401.4 meV per atom.

abc: 5.2103 5.2103 5.2103
angles: 90.00 90.00 90.00
With the nearest neighbours (Å) after each atom.
Fractional coordinates of all 5 atoms:
Te (0.0000, 0.0000, 0.0000)  6 Au 2.61
W (0.5000, 0.5000, 0.5000)  12 Au 3.68
Au (0.0000, 0.0000, 0.5000)  2 Te 2.61
Au (0.0000, 0.5000, 0.0000)  2 Te 2.61
Au (0.5000, 0.0000, 0.0000)  2 Te 2.61